Entry from Alexandria: crystalline Li3Ce2HfS6 at its relaxed geometry (PBE).

Geometry as CIF:
```
data_Li3Ce2HfS6
_chemical_formula_sum 'Li6 Ce4 Hf2 S12'
_symmetry_space_group_name_H-M 'C 1 2/m 1'
_symmetry_Int_Tables_number 12
_cell_length_a 6.7387
_cell_length_b 11.7625
_cell_length_c 6.5611
_cell_angle_alpha 90.00
_cell_angle_beta 109.39
_cell_angle_gamma 90.00
loop_
_symmetry_equiv_pos_as_xyz
'x,y,z'
'-x,-y,-z'
'-x,y,-z'
'x,-y,z'
'x+1/2,y+1/2,z'
'-x+1/2,-y+1/2,-z'
'-x+1/2,y+1/2,-z'
'x+1/2,-y+1/2,z'
loop_
_atom_site_label
_atom_site_type_symbol
_atom_site_fract_x
_atom_site_fract_y
_atom_site_fract_z
_atom_site_occupancy
Li1 Li 0.0000 0.0000 0.0000 1
Li2 Li 0.0000 0.3509 0.0000 1
Ce1 Ce 0.0000 0.1689 0.5000 1
Hf1 Hf 0.0000 0.5000 0.5000 1
S1 S 0.2315 0.5000 0.2528 1
S2 S 0.2367 0.3468 0.7549 1
```

**Uncorrected energy**: -5.996 eV per atom



Entry from Alexandria: crystalline LiCeHfS4 at its relaxed geometry (PBE).

Geometry as CIF:
```
data_LiCeHfS4
_chemical_formula_sum 'Li4 Ce4 Hf4 S16'
_symmetry_space_group_name_H-M 'I m m a'
_symmetry_Int_Tables_number 74
_symmetry_space_group_name_Hall '-I 2b 2'
_cell_length_a 7.4564
_cell_length_b 8.1845
_cell_length_c 11.1133
_cell_angle_alpha 90.00
_cell_angle_beta 90.00
_cell_angle_gamma 90.00
loop_
_atom_site_label
_atom_site_type_symbol
_atom_site_fract_x
_atom_site_fract_y
_atom_site_fract_z
_atom_site_occupancy
Li1 Li 0.0000 0.2500 0.1254 1
Ce1 Ce 0.0000 0.0000 0.5000 1
Hf1 Hf 0.2500 0.2500 0.7500 1
S1 S 0.0000 0.0311 0.7519 1
S2 S 0.2489 0.2500 0.9797 1
```

**Uncorrected energy**: -6.572 eV per atom



Entry from Alexandria: crystalline Li3Ce3HfSe8 at its relaxed geometry (PBE).

Geometry as CIF:
```
data_Li3Ce3HfSe8
_chemical_formula_sum 'Li9 Ce9 Hf3 Se24'
_symmetry_space_group_name_H-M 'R -3 m'
_symmetry_Int_Tables_number 166
_symmetry_space_group_name_Hall '-R 3 2"'
_cell_length_a 8.3029
_cell_length_b 8.3029
_cell_length_c 19.3972
_cell_angle_alpha 90.00
_cell_angle_beta 90.00
_cell_angle_gamma 120.00
loop_
_atom_site_label
_atom_site_type_symbol
_atom_site_fract_x
_atom_site_fract_y
_atom_site_fract_z
_atom_site_occupancy
Li1 Li 0.0000 0.5000 0.0000 1
Ce1 Ce 0.0000 0.5000 0.5000 1
Hf1 Hf 0.0000 0.0000 0.5000 1
Se1 Se 0.0000 0.0000 0.2543 1
Se2 Se 0.0262 0.5131 0.2483 1
```

**Uncorrected energy**: -5.639 eV per atom



Entry from Alexandria: crystalline Li4Ce3HfSe8 at its relaxed geometry (PBE).

Geometry as CIF:
```
data_Li4Ce3HfSe8
_chemical_formula_sum 'Li12 Ce9 Hf3 Se24'
_symmetry_space_group_name_H-M 'R -3 m'
_symmetry_Int_Tables_number 166
_symmetry_space_group_name_Hall '-R 3 2"'
_cell_length_a 8.1705
_cell_length_b 8.1705
_cell_length_c 19.5766
_cell_angle_alpha 90.00
_cell_angle_beta 90.00
_cell_angle_gamma 120.00
loop_
_atom_site_label
_atom_site_type_symbol
_atom_site_fract_x
_atom_site_fract_y
_atom_site_fract_z
_atom_site_occupancy
Li1 Li 0.0000 0.0000 0.0000 1
Li2 Li 0.0000 0.5000 0.0000 1
Ce1 Ce 0.0000 0.5000 0.5000 1
Hf1 Hf 0.0000 0.0000 0.5000 1
Se1 Se 0.0000 0.0000 0.2557 1
Se2 Se 0.0222 0.5111 0.2512 1
```

**Uncorrected energy**: -5.453 eV per atom



Entry from Alexandria: crystalline LiCeHfSe4 at its relaxed geometry (PBE).

Geometry as CIF:
```
data_LiCeHfSe4
_chemical_formula_sum 'Li4 Ce4 Hf4 Se16'
_symmetry_space_group_name_H-M 'I m m a'
_symmetry_Int_Tables_number 74
_symmetry_space_group_name_Hall '-I 2b 2'
_cell_length_a 7.8090
_cell_length_b 8.5014
_cell_length_c 11.6071
_cell_angle_alpha 90.00
_cell_angle_beta 90.00
_cell_angle_gamma 90.00
loop_
_atom_site_label
_atom_site_type_symbol
_atom_site_fract_x
_atom_site_fract_y
_atom_site_fract_z
_atom_site_occupancy
Li1 Li 0.0000 0.2500 0.1289 1
Ce1 Ce 0.0000 0.0000 0.5000 1
Hf1 Hf 0.2500 0.2500 0.7500 1
Se1 Se 0.0000 0.0276 0.7531 1
Se2 Se 0.2458 0.2500 0.9811 1
```

**Uncorrected energy**: -6.012 eV per atom



Entry from Alexandria: crystalline LiCe2HfSe5 at its relaxed geometry (PBE).

Geometry as CIF:
```
data_LiCe2HfSe5
_chemical_formula_sum 'Li4 Ce8 Hf4 Se20'
_symmetry_space_group_name_H-M 'C m c 21'
_symmetry_Int_Tables_number 36
_cell_length_a 4.0440
_cell_length_b 17.2554
_cell_length_c 12.1892
_cell_angle_alpha 90.00
_cell_angle_beta 90.00
_cell_angle_gamma 90.00
loop_
_symmetry_equiv_pos_as_xyz
'x,y,z'
'-x,-y,z+1/2'
'-x,y,z'
'x,-y,z+1/2'
'x+1/2,y+1/2,z'
'-x+1/2,-y+1/2,z+1/2'
'-x+1/2,y+1/2,z'
'x+1/2,-y+1/2,z+1/2'
loop_
_atom_site_label
_atom_site_type_symbol
_atom_site_fract_x
_atom_site_fract_y
_atom_site_fract_z
_atom_site_occupancy
Li1 Li 0.0000 0.0555 0.0000 1
Ce1 Ce 0.0000 0.3703 0.8520 1
Ce2 Ce 0.0000 0.3920 0.2359 1
Hf1 Hf 0.0000 0.3021 0.5624 1
Se1 Se 0.0000 0.0048 0.3216 1
Se2 Se 0.0000 0.1436 0.5493 1
Se3 Se 0.0000 0.1917 0.9084 1
Se4 Se 0.0000 0.2160 0.2120 1
Se5 Se 0.0000 0.4473 0.6075 1
```

**Uncorrected energy**: -6.118 eV per atom



Entry from Alexandria: crystalline LiCeHfTc at its relaxed geometry (PBE).

Geometry as CIF:
```
data_LiCeHfTc
_chemical_formula_sum 'Li4 Ce4 Hf4 Tc4'
_symmetry_space_group_name_H-M 'F -4 3 m'
_symmetry_Int_Tables_number 216
_symmetry_space_group_name_Hall 'F -4 2 3'
_cell_length_a 6.7825
_cell_length_b 6.7825
_cell_length_c 6.7825
_cell_angle_alpha 90.00
_cell_angle_beta 90.00
_cell_angle_gamma 90.00
loop_
_atom_site_label
_atom_site_type_symbol
_atom_site_fract_x
_atom_site_fract_y
_atom_site_fract_z
_atom_site_occupancy
Li1 Li 0.0000 0.0000 0.0000 1
Ce1 Ce 0.2500 0.2500 0.7500 1
Hf1 Hf 0.2500 0.2500 0.2500 1
Tc1 Tc 0.0000 0.0000 0.5000 1
```

**Formation energy**: -0.0195 eV/atom



Entry from Alexandria: crystalline CeLu2Hf at its relaxed geometry (PBE).

Geometry as CIF:
```
data_CeLu2Hf
_chemical_formula_sum 'Ce4 Lu8 Hf4'
_symmetry_space_group_name_H-M 'F m -3 m'
_symmetry_Int_Tables_number 225
_symmetry_space_group_name_Hall '-F 4 2 3'
_cell_length_a 7.5918
_cell_length_b 7.5918
_cell_length_c 7.5918
_cell_angle_alpha 90.00
_cell_angle_beta 90.00
_cell_angle_gamma 90.00
loop_
_atom_site_label
_atom_site_type_symbol
_atom_site_fract_x
_atom_site_fract_y
_atom_site_fract_z
_atom_site_occupancy
Ce1 Ce 0.0000 0.0000 0.0000 1
Lu1 Lu 0.2500 0.2500 0.2500 1
Hf1 Hf 0.0000 0.0000 0.5000 1
```

**Relative energy among the computed polymorphs**: 116 meV/atom
**Formation energy**: 0.2338 eV/atom



Entry from Alexandria: crystalline CeLuHf at its relaxed geometry (PBE).

Geometry as CIF:
```
data_CeLuHf
_chemical_formula_sum 'Ce2 Lu2 Hf2'
_symmetry_space_group_name_H-M 'I 4 m m'
_symmetry_Int_Tables_number 107
_symmetry_space_group_name_Hall 'I 4 -2'
_cell_length_a 3.2564
_cell_length_b 3.2564
_cell_length_c 14.9926
_cell_angle_alpha 90.00
_cell_angle_beta 90.00
_cell_angle_gamma 90.00
loop_
_atom_site_label
_atom_site_type_symbol
_atom_site_fract_x
_atom_site_fract_y
_atom_site_fract_z
_atom_site_occupancy
Ce1 Ce 0.0000 0.0000 0.0000 1
Lu1 Lu 0.0000 0.0000 0.6842 1
Hf1 Hf 0.0000 0.0000 0.3388 1
```

**Formation energy**: 0.1234 eV/atom



Entry from Alexandria: crystalline CeLuHf at its relaxed geometry (PBE).

Geometry as CIF:
```
data_CeLuHf
_chemical_formula_sum 'Ce1 Lu1 Hf1'
_symmetry_space_group_name_H-M 'P 3 m 1'
_symmetry_Int_Tables_number 156
_cell_length_a 3.3120
_cell_length_b 3.3120
_cell_length_c 8.2540
_cell_angle_alpha 90.00
_cell_angle_beta 90.00
_cell_angle_gamma 120.00
loop_
_symmetry_equiv_pos_as_xyz
'x,y,z'
'-y,x-y,z'
'-x+y,-x,z'
'-y,-x,z'
'-x+y,y,z'
'x,x-y,z'
loop_
_atom_site_label
_atom_site_type_symbol
_atom_site_fract_x
_atom_site_fract_y
_atom_site_fract_z
_atom_site_occupancy
Ce1 Ce 0.0000 0.0000 0.0000 1
Lu1 Lu 0.3333 0.6667 0.6411 1
Hf1 Hf 0.6667 0.3333 0.3206 1
```

**Formation energy**: 0.1226 eV/atom



Entry from Alexandria: crystalline CeLu2Hf at its relaxed geometry (PBE).

Geometry as CIF:
```
data_CeLu2Hf
_chemical_formula_sum 'Ce1 Lu2 Hf1'
_symmetry_space_group_name_H-M 'P 4/m m m'
_symmetry_Int_Tables_number 123
_symmetry_space_group_name_Hall '-P 4 2'
_cell_length_a 4.7078
_cell_length_b 4.7078
_cell_length_c 4.8676
_cell_angle_alpha 90.00
_cell_angle_beta 90.00
_cell_angle_gamma 90.00
loop_
_atom_site_label
_atom_site_type_symbol
_atom_site_fract_x
_atom_site_fract_y
_atom_site_fract_z
_atom_site_occupancy
Ce1 Ce 0.0000 0.0000 0.0000 1
Lu1 Lu 0.0000 0.5000 0.5000 1
Hf1 Hf 0.5000 0.5000 0.0000 1
```

**Relative energy among the computed polymorphs**: 0 meV/atom
**Formation energy**: 0.1175 eV/atom



Entry from Alexandria: crystalline CeLuHfMg at its relaxed geometry (PBE).

Geometry as CIF:
```
data_CeLuHfMg
_chemical_formula_sum 'Ce4 Lu4 Hf4 Mg4'
_symmetry_space_group_name_H-M 'F -4 3 m'
_symmetry_Int_Tables_number 216
_symmetry_space_group_name_Hall 'F -4 2 3'
_cell_length_a 7.4186
_cell_length_b 7.4186
_cell_length_c 7.4186
_cell_angle_alpha 90.00
_cell_angle_beta 90.00
_cell_angle_gamma 90.00
loop_
_atom_site_label
_atom_site_type_symbol
_atom_site_fract_x
_atom_site_fract_y
_atom_site_fract_z
_atom_site_occupancy
Ce1 Ce 0.0000 0.0000 0.0000 1
Lu1 Lu 0.0000 0.0000 0.5000 1
Hf1 Hf 0.2500 0.2500 0.7500 1
Mg1 Mg 0.2500 0.2500 0.2500 1
```

**Formation energy**: 0.1600 eV/atom



Entry from Alexandria: crystalline CeNdLuHf at its relaxed geometry (PBE).

Geometry as CIF:
```
data_CeNdLuHf
_chemical_formula_sum 'Ce4 Nd4 Lu4 Hf4'
_symmetry_space_group_name_H-M 'F -4 3 m'
_symmetry_Int_Tables_number 216
_symmetry_space_group_name_Hall 'F -4 2 3'
_cell_length_a 7.7446
_cell_length_b 7.7446
_cell_length_c 7.7446
_cell_angle_alpha 90.00
_cell_angle_beta 90.00
_cell_angle_gamma 90.00
loop_
_atom_site_label
_atom_site_type_symbol
_atom_site_fract_x
_atom_site_fract_y
_atom_site_fract_z
_atom_site_occupancy
Ce1 Ce 0.0000 0.0000 0.0000 1
Nd1 Nd 0.2500 0.2500 0.7500 1
Lu1 Lu 0.0000 0.0000 0.5000 1
Hf1 Hf 0.2500 0.2500 0.2500 1
```

**Formation energy**: 0.3090 eV/atom



| no. | theoretical density (g/cm³) |
| --- | --- |
| 1 | 4.55 |
| 2 | 4.44 |
| 3 | 5.38 |
| 4 | 5.54 |
| 5 | 5.53 |
| 6 | 6.72 |
| 7 | 9.02 |
| 8 | 10.15 |
| 9 | 10.31 |
| 10 | 10.45 |
| 11 | 10.29 |
| 12 | 8.42 |
| 13 | 9.12 |